Model i:
VASP calculation (GGA-PBE) on a relaxed structure of Ag2Hg2Au.

- magnetic moment (μB/f.u.) = 0.00
- mass density (g cm⁻³) = 12.415

CIF file:
```
data_Ag2Hg2Au
_chemical_formula_sum 'Ag4 Hg4 Au2'
_cell_length_a 3.8456
_cell_length_b 3.8456
_cell_length_c 14.7217
_cell_angle_alpha 90.00
_cell_angle_beta 90.00
_cell_angle_gamma 90.00
_symmetry_space_group_name_H-M 'I 4/m m m'
_symmetry_Int_Tables_number 139
_symmetry_space_group_name_Hall '-I 4 2'
loop_
_atom_site_label
_atom_site_fract_x
_atom_site_fract_y
_atom_site_fract_z
Ag1 0.0000 0.5000 0.2500
Hg1 0.0000 0.0000 0.0984
Au1 0.0000 0.0000 0.5000
```

---

Model ii:
VASP calculation (GGA-PBE) on a relaxed structure of Ag2Hg2Au.

- magnetic moment (μB/f.u.) = 0.00
- mass density (g cm⁻³) = 12.124

CIF file:
```
data_Ag2Hg2Au
_chemical_formula_sum 'Ag4 Hg4 Au2'
_cell_length_a 3.9483
_cell_length_b 3.9483
_cell_length_c 14.3020
_cell_angle_alpha 90.00
_cell_angle_beta 90.00
_cell_angle_gamma 90.00
_symmetry_space_group_name_H-M 'I 4/m m m'
_symmetry_Int_Tables_number 139
_symmetry_space_group_name_Hall '-I 4 2'
loop_
_atom_site_label
_atom_site_fract_x
_atom_site_fract_y
_atom_site_fract_z
Ag1 0.0000 0.0000 0.0925
Hg1 0.0000 0.5000 0.2500
Au1 0.0000 0.0000 0.5000
```

---

Most stable one: model i, least stable one: model ii.